The following is a PBE calculation of Sr2Ti2GaO7 after structural relaxation, from the Alexandria database.

a = 11.4777 Å, b = 11.4777 Å, c = 5.6523 Å
α = 75.75°, β = 75.75°, γ = 138.79°
With the nearest neighbours (Å) after each atom.
Fractional positions:
O 0.3796 0.2255 0.4791  1 Ga 1.86
O 0.7758 0.6217 0.5829  1 Ga 1.86
O 0.8415 0.1750 0.5003  1 Ti 1.84
O 0.6934 0.3380 0.4961  1 Ti 1.82
O 0.3380 0.6934 0.4961  1 Ti 1.82
O 0.1750 0.8415 0.5003  1 Ti 1.84
O 0.6632 0.3078 0.0264  1 Ti 1.82
O 0.2255 0.3796 0.4791  1 Ga 1.86
O 0.8262 0.1597 0.0156  1 Ti 1.84
O 0.8890 0.8890 0.9985  2 Ga 1.90
O 0.1597 0.8262 0.0156  1 Ti 1.84
O 0.3078 0.6632 0.0264  1 Ti 1.82
O 0.6217 0.7758 0.5829  1 Ga 1.86
O 0.1123 0.1123 0.2752  2 Ga 1.90
Ga 0.8295 0.8295 0.3878  4 O 1.86-1.90
Ga 0.1719 0.1719 0.5454  4 O 1.86-1.90
Sr 0.6291 0.8342 0.0063  7 O 2.48-2.64
Sr 0.1670 0.3721 0.9684  7 O 2.48-2.64
Sr 0.8342 0.6291 0.0063  7 O 2.48-2.64
Sr 0.3721 0.1670 0.9684  7 O 2.48-2.64
Ti 0.4203 0.0742 0.4749  2 O 1.82-1.84
Ti 0.9270 0.5810 0.4681  2 O 1.82-1.84
Ti 0.0742 0.4203 0.4749  2 O 1.82-1.84
Ti 0.5810 0.9270 0.4681  2 O 1.82-1.84

Properties
**Uncorrected formation energy**: -2.584 eV per atom
**Calculated total energy**: -7.325 eV per atom
**Calculated volume**: 14.6 Å³/atom